## Pr2CuHg3 (GGA-PBE)

Data for an optimized crystal structure of Pr2CuHg3.

Output
Crystal system   orthorhombic
Total energy   -2.7908 eV/atom
E_form   -0.3640 eV/atom
Mass density   10.51 Mg/m³

a = 3.590 Å, b = 4.889 Å, c = 8.525 Å
α = 90.00°, β = 90.00°, γ = 90.00°
Atoms (fractional coordinates):
1 Pr 0.000 0.500 0.015
2 Pr 0.000 0.000 0.492
3 Cu 0.500 0.500 0.329
4 Hg 0.500 0.000 0.835
5 Hg 0.500 0.000 0.180
6 Hg 0.500 0.500 0.649

## Pr4Cu2Hg5 (GGA-PBE)

Data for an optimized crystal structure of Pr4Cu2Hg5.

Output
Crystal system   monoclinic
Total energy   -2.9649 eV/atom
E_form   -0.3449 eV/atom
Mass density   9.75 Mg/m³

a = 3.894 Å, b = 7.781 Å, c = 9.522 Å
α = 90.90°, β = 90.00°, γ = 90.00°
Atoms (fractional coordinates):
1 Pr 0.500 0.764 0.582
2 Pr 0.500 0.191 0.855
3 Pr 0.500 0.236 0.418
4 Pr 0.500 0.809 0.145
5 Cu 0.000 0.063 0.623
6 Cu 0.000 0.937 0.377
7 Hg 0.000 0.571 0.340
8 Hg 0.000 0.152 0.139
9 Hg 0.000 0.500 0.000
10 Hg 0.000 0.848 0.861
11 Hg 0.000 0.429 0.660

## Pr5Cu4Hg (GGA-PBE)

Data for an optimized crystal structure of Pr5Cu4Hg.

Output
Crystal system   tetragonal
Total energy   -4.2429 eV/atom
E_form   -0.1845 eV/atom
Mass density   7.78 Mg/m³

a = 3.639 Å, b = 3.639 Å, c = 18.690 Å
α = 90.00°, β = 90.00°, γ = 90.00°
Each line ends with the local moment (μB).
Atoms (fractional coordinates):
1 Pr 0.500 0.500 0.114  0.08
2 Pr 0.500 0.500 0.306  0.01
3 Pr 0.500 0.500 0.500  0.01
4 Pr 0.500 0.500 0.694  0.01
5 Pr 0.500 0.500 0.886  0.08
6 Cu 0.000 0.000 0.212  0.01
7 Cu 0.000 0.000 0.404  0.00
8 Cu 0.000 0.000 0.596  0.00
9 Cu 0.000 0.000 0.788  0.01
10 Hg 0.000 0.000 0.000  0.01

## Pr2Cu15Hg2 (GGA-PBE)

Data for an optimized crystal structure of Pr2Cu15Hg2.

Output
Crystal system   trigonal
Total energy   -3.8288 eV/atom
E_form   -0.0601 eV/atom
Mass density   9.30 Mg/m³

a = 6.676 Å, b = 6.676 Å, c = 6.676 Å
α = 83.35°, β = 83.35°, γ = 83.35°
Atoms (fractional coordinates):
1 Pr 0.352 0.352 0.352
2 Pr 0.648 0.648 0.648
3 Cu 0.500 0.000 0.000
4 Cu 0.000 0.000 0.500
5 Cu 0.000 0.500 0.000
6 Cu 0.000 0.696 0.304
7 Cu 0.696 0.304 0.000
8 Cu 0.304 0.000 0.696
9 Cu 0.304 0.696 0.000
10 Cu 0.696 0.000 0.304
11 Cu 0.000 0.304 0.696
12 Cu 0.161 0.652 0.652
13 Cu 0.652 0.652 0.161
14 Cu 0.652 0.161 0.652
15 Cu 0.839 0.348 0.348
16 Cu 0.348 0.348 0.839
17 Cu 0.348 0.839 0.348
18 Hg 0.109 0.109 0.109
19 Hg 0.891 0.891 0.891

## Pr8CuHg2 (GGA-PBE)

Data for an optimized crystal structure of Pr8CuHg2.

Output
Crystal system   monoclinic
Total energy   -4.0647 eV/atom
E_form   -0.1615 eV/atom
Mass density   7.69 Mg/m³

a = 5.333 Å, b = 7.058 Å, c = 9.804 Å
α = 103.99°, β = 105.78°, γ = 90.00°
Atoms (fractional coordinates):
1 Pr 0.410 0.545 0.820
2 Pr 0.657 0.976 0.313
3 Pr 0.797 0.689 0.594
4 Pr 0.982 0.224 0.965
5 Pr 0.203 0.311 0.406
6 Pr 0.343 0.024 0.687
7 Pr 0.590 0.455 0.180
8 Pr 0.018 0.776 0.035
9 Cu 0.500 0.000 0.000
10 Hg 0.817 0.263 0.635
11 Hg 0.183 0.737 0.365

## Pr3Cu2Hg (GGA-PBE)

Data for an optimized crystal structure of Pr3Cu2Hg.

Output
Crystal system   tetragonal
Total energy   -4.0341 eV/atom
E_form   -0.2287 eV/atom
Offset from the most stable computed form   0.0000 eV per atom
Mass density   8.16 Mg/m³

a = 3.685 Å, b = 3.685 Å, c = 11.245 Å
α = 90.00°, β = 90.00°, γ = 90.00°
Each line ends with the local moment (μB).
Atoms (fractional coordinates):
1 Pr 0.000 0.000 0.000  0.03
2 Pr 0.000 0.000 0.684  0.09
3 Pr 0.000 0.000 0.316  0.09
4 Cu 0.500 0.500 0.844  0.01
5 Cu 0.500 0.500 0.156  0.01
6 Hg 0.500 0.500 0.500  0.01

## Pr3CuHg2 (GGA-PBE)

Data for an optimized crystal structure of Pr3CuHg2.

Output
Crystal system   orthorhombic
Total energy   -3.5118 eV/atom
E_form   -0.3388 eV/atom
Offset from the most stable computed form   0.0000 eV per atom
Mass density   9.02 Mg/m³

a = 3.783 Å, b = 5.398 Å, c = 8.446 Å
α = 108.64°, β = 90.00°, γ = 90.00°
Each line ends with the local moment (μB).
Atoms (fractional coordinates):
1 Pr 0.500 0.500 0.000  0.19
2 Pr 0.500 0.845 0.690  0.13
3 Pr 0.500 0.155 0.310  0.13
4 Cu 0.000 0.000 0.000  0.03
5 Hg 0.000 0.326 0.651  0.01
6 Hg 0.000 0.674 0.349  0.01

## Pr2Cu2Hg (GGA-PBE)

Data for an optimized crystal structure of Pr2Cu2Hg.

Output
Crystal system   orthorhombic
Total energy   -3.9136 eV/atom
E_form   -0.3029 eV/atom
Mass density   8.55 Mg/m³

a = 3.816 Å, b = 4.265 Å, c = 7.580 Å
α = 106.34°, β = 90.00°, γ = 90.00°
Atoms (fractional coordinates):
1 Pr 0.500 0.632 0.265
2 Pr 0.500 0.368 0.735
3 Cu 0.000 0.204 0.407
4 Cu 0.000 0.796 0.593
5 Hg 0.000 0.000 0.000

The highest total energy belongs to which entry?
Pr2CuHg3

Please write out number 3 again, unchanged.
## Pr5Cu4Hg (GGA-PBE)

Data for an optimized crystal structure of Pr5Cu4Hg.

Output
Crystal system   tetragonal
Total energy   -4.2429 eV/atom
E_form   -0.1845 eV/atom
Mass density   7.78 Mg/m³

a = 3.639 Å, b = 3.639 Å, c = 18.690 Å
α = 90.00°, β = 90.00°, γ = 90.00°
Each line ends with the local moment (μB).
Atoms (fractional coordinates):
1 Pr 0.500 0.500 0.114  0.08
2 Pr 0.500 0.500 0.306  0.01
3 Pr 0.500 0.500 0.500  0.01
4 Pr 0.500 0.500 0.694  0.01
5 Pr 0.500 0.500 0.886  0.08
6 Cu 0.000 0.000 0.212  0.01
7 Cu 0.000 0.000 0.404  0.00
8 Cu 0.000 0.000 0.596  0.00
9 Cu 0.000 0.000 0.788  0.01
10 Hg 0.000 0.000 0.000  0.01

Number 5 is which compound?
Pr8CuHg2